# PrHoZn2Pd5, optimized geometry, DFT PBE-GGA
# Energy of formation from the pure elements   -0.64 eV/atom
# SG   No. 123
# DFT total energy   -4.850 eV/atom
# V   18.5 Å³/atom
data_PrHoZn2Pd5
_space_group_name_H-M_alt 'P 1'
_space_group_IT_number 1
_space_group_name_Hall 'P 1'
_cell_length_a 4.200
_cell_length_b 4.200
_cell_length_c 9.435
_cell_angle_alpha 90.00
_cell_angle_beta 90.00
_cell_angle_gamma 90.00
loop_
_atom_site_label
_atom_site_type_symbol
_atom_site_fract_x
_atom_site_fract_y
_atom_site_fract_z
_atom_site_occupancy
Pr1 Pr 0.000 0.000 0.000 1
Ho1 Ho 0.000 0.000 0.500 1
Zn1 Zn 0.500 0.500 0.373 1
Zn2 Zn 0.500 0.500 0.627 1
Pd1 Pd 0.000 0.500 0.230 1
Pd2 Pd 0.000 0.500 0.770 1
Pd3 Pd 0.500 0.000 0.230 1
Pd4 Pd 0.500 0.000 0.770 1
Pd5 Pd 0.500 0.500 0.000 1

=====

# Ca2InCl, optimized geometry, DFT PBE-GGA
# Energy relative to the lowest polymorph listed for this composition   236 meV per atom
# E_form (uncorrected)   -841.6 meV per atom
# SG   No. 71
# DFT total energy   -2.989 eV/atom
# V   31.0 Å³/atom
data_Ca2InCl
_space_group_name_H-M_alt 'P 1'
_space_group_IT_number 1
_space_group_name_Hall 'P 1'
_cell_length_a 6.056
_cell_length_b 6.056
_cell_length_c 6.056
_cell_angle_alpha 141.77
_cell_angle_beta 111.73
_cell_angle_gamma 81.04
loop_
_atom_site_label
_atom_site_type_symbol
_atom_site_fract_x
_atom_site_fract_y
_atom_site_fract_z
_atom_site_occupancy
Ca1 Ca 0.213 0.213 0.000 1
Ca2 Ca 0.787 0.787 0.000 1
In1 In 0.500 0.000 0.500 1
Cl1 Cl 0.000 0.500 0.500 1

=====

# KTaMo2Pb, optimized geometry, DFT PBE-GGA
# Energy relative to the lowest polymorph listed for this composition   620 meV per atom
# Energy of formation from the pure elements   2.49 eV/atom
# SG   No. 123
# DFT total energy   -5.177 eV/atom
# V   28.5 Å³/atom
data_KTaMo2Pb
_space_group_name_H-M_alt 'P 1'
_space_group_IT_number 1
_space_group_name_Hall 'P 1'
_cell_length_a 5.199
_cell_length_b 5.199
_cell_length_c 5.280
_cell_angle_alpha 90.00
_cell_angle_beta 90.00
_cell_angle_gamma 90.00
loop_
_atom_site_label
_atom_site_type_symbol
_atom_site_fract_x
_atom_site_fract_y
_atom_site_fract_z
_atom_site_occupancy
K1 K 0.000 0.000 0.000 1
Ta1 Ta 0.500 0.500 0.000 1
Mo1 Mo 0.000 0.500 0.500 1
Mo2 Mo 0.500 0.000 0.500 1
Pb1 Pb 0.500 0.500 0.500 1

=====

Question: Which of these has the lowest DFT total energy?
Answer: KTaMo2Pb

=====

Question: The lowest V belongs to which entry?
Answer: PrHoZn2Pd5

=====

Repeat the second record exactly.
# Ca2InCl, optimized geometry, DFT PBE-GGA
# Energy relative to the lowest polymorph listed for this composition   236 meV per atom
# E_form (uncorrected)   -841.6 meV per atom
# SG   No. 71
# DFT total energy   -2.989 eV/atom
# V   31.0 Å³/atom
data_Ca2InCl
_space_group_name_H-M_alt 'P 1'
_space_group_IT_number 1
_space_group_name_Hall 'P 1'
_cell_length_a 6.056
_cell_length_b 6.056
_cell_length_c 6.056
_cell_angle_alpha 141.77
_cell_angle_beta 111.73
_cell_angle_gamma 81.04
loop_
_atom_site_label
_atom_site_type_symbol
_atom_site_fract_x
_atom_site_fract_y
_atom_site_fract_z
_atom_site_occupancy
Ca1 Ca 0.213 0.213 0.000 1
Ca2 Ca 0.787 0.787 0.000 1
In1 In 0.500 0.000 0.500 1
Cl1 Cl 0.000 0.500 0.500 1